Compound: B2Ir2N
Source: Alexandria via LeMat-Bulk
Functional: PBE-GGA
Structure: optimized geometry

Unit cell a=6.0396 b=6.0396 c=2.7978 alpha=90.00 beta=90.00 gamma=90.00
Closest atoms and distances in Å follow each position.
Sites, in units of the cell vectors:
Ir 0.7852 0.7148 0.0000  2 B 2.14, 2 N 2.16
N 0.0000 0.0000 0.0000  4 Ir 2.16
B 0.0958 0.5958 0.5000  1 B 1.64
Ir 0.2852 0.7852 0.0000  2 B 2.14, 2 N 2.16
Ir 0.2148 0.2852 0.0000  2 B 2.14, 2 N 2.16
Ir 0.7148 0.2148 0.0000  2 B 2.14, 2 N 2.16
N 0.5000 0.5000 0.0000  4 Ir 2.16
B 0.9042 0.4042 0.5000  1 B 1.64
B 0.4042 0.0958 0.5000  1 B 1.64
B 0.5958 0.9042 0.5000  1 B 1.64

Results
The value obtained for the mass density is 13.67 Mg/m³. The value obtained for the energy above the most stable polymorph in this dataset is 169.2 meV per atom. For the size of the total moment, the calculation gives 0.000 μB/atom. The value obtained for the final energy is -7.238 eV/atom. Its uncorrected formation energy is 642.0 meV per atom. The calculated volume is 10.2 A^3/atom.

Compound: BeHg3Rh
Source: Alexandria via LeMat-Bulk
Functional: PBE-GGA
Structure: optimized geometry

Unit cell a=5.2556 b=5.2556 c=5.2556 alpha=90.00 beta=90.00 gamma=90.00
Closest atoms and distances in Å follow each position.
Sites, in units of the cell vectors:
Hg 0.5000 0.0000 0.0000  2 Rh 2.63
Hg 0.0000 0.0000 0.5000  2 Rh 2.63
Rh 0.0000 0.0000 0.0000  6 Hg 2.63
Hg 0.0000 0.5000 0.0000  2 Rh 2.63
Be 0.5000 0.5000 0.5000  12 Hg 3.72

Results
The energy of formation is 3.9 eV/f.u. The value obtained for the mass density is 8.16 Mg/m³. The value obtained for the energy above the most stable polymorph in this dataset is 134.6 meV per atom. For the size of the total moment, the calculation gives 0.000 μB/atom. The value obtained for the final energy is -1.617 eV/atom. The calculated volume is 29.0 A^3/atom.

Compound: BaSi2Br
Source: Alexandria via LeMat-Bulk
Functional: PBE-GGA
Structure: optimized geometry

Unit cell a=4.0888 b=4.0888 c=8.9096 alpha=77.05 beta=77.05 gamma=60.01
Closest atoms and distances in Å follow each position.
Sites, in units of the cell vectors:
Br 0.2355 0.2355 0.2853  3 Ba 3.15
Si 0.0450 0.0450 0.8708  3 Si 2.41
Ba 0.4898 0.4898 0.5284  3 Br 3.15, 3 Si 3.42
Si 0.7296 0.7296 0.8156  3 Si 2.41

Results
The value obtained for the mass density is 3.64 Mg/m³. The value obtained for the energy above the most stable polymorph in this dataset is 0.0 meV per atom. For the size of the total moment, the calculation gives 0.000 μB/atom. The value obtained for the final energy is -4.199 eV/atom. Its uncorrected formation energy is -588.5 meV per atom. The calculated volume is 31.2 A^3/atom.

Compound: Pr2Sm2Dy5
Source: Alexandria via LeMat-Bulk
Functional: PBE-GGA
Structure: optimized geometry

Unit cell a=3.5076 b=8.3144 c=12.6390 alpha=120.74 beta=97.98 gamma=90.00
Closest atoms and distances in Å follow each position.
Sites, in units of the cell vectors:
Pr 0.1840 0.2238 0.3680  2 Pr 3.51, 4 Dy 3.52-3.62
Dy 0.0983 0.4589 0.1966  5 Dy 3.30-3.51, 1 Pr 3.57, 4 Sm 3.58-3.63
Sm 0.4532 0.2623 0.9064  5 Dy 3.20-3.58, 3 Sm 3.40-3.51
Pr 0.8160 0.7762 0.6320  2 Pr 3.51, 4 Dy 3.52-3.62
Dy 0.6903 0.8529 0.3806  1 Sm 3.20, 6 Dy 3.23-3.51, 1 Pr 3.52
Dy 0.0000 0.0000 0.0000  4 Dy 3.30-3.51, 4 Sm 3.44
Dy 0.9017 0.5411 0.8034  5 Dy 3.30-3.51, 1 Pr 3.57, 4 Sm 3.58-3.63
Sm 0.5468 0.7377 0.0936  5 Dy 3.20-3.58, 3 Sm 3.40-3.51
Dy 0.3097 0.1471 0.6194  1 Sm 3.20, 6 Dy 3.23-3.51, 1 Pr 3.52

Results
The energy of formation is 2.1 eV/f.u. The value obtained for the mass density is 7.41 Mg/m³. The value obtained for the energy above the most stable polymorph in this dataset is 27.9 meV per atom. For the size of the total moment, the calculation gives 0.000 μB/atom. The value obtained for the final energy is -4.437 eV/atom. The calculated volume is 34.7 A^3/atom.

What did the first record say?
Compound: B2Ir2N
Source: Alexandria via LeMat-Bulk
Functional: PBE-GGA
Structure: optimized geometry

Unit cell a=6.0396 b=6.0396 c=2.7978 alpha=90.00 beta=90.00 gamma=90.00
Closest atoms and distances in Å follow each position.
Sites, in units of the cell vectors:
Ir 0.7852 0.7148 0.0000  2 B 2.14, 2 N 2.16
N 0.0000 0.0000 0.0000  4 Ir 2.16
B 0.0958 0.5958 0.5000  1 B 1.64
Ir 0.2852 0.7852 0.0000  2 B 2.14, 2 N 2.16
Ir 0.2148 0.2852 0.0000  2 B 2.14, 2 N 2.16
Ir 0.7148 0.2148 0.0000  2 B 2.14, 2 N 2.16
N 0.5000 0.5000 0.0000  4 Ir 2.16
B 0.9042 0.4042 0.5000  1 B 1.64
B 0.4042 0.0958 0.5000  1 B 1.64
B 0.5958 0.9042 0.5000  1 B 1.64

Results
The value obtained for the mass density is 13.67 Mg/m³. The value obtained for the energy above the most stable polymorph in this dataset is 169.2 meV per atom. For the size of the total moment, the calculation gives 0.000 μB/atom. The value obtained for the final energy is -7.238 eV/atom. Its uncorrected formation energy is 642.0 meV per atom. The calculated volume is 10.2 A^3/atom.